The following is a PBE calculation of Sc11Tl9Co4 after structural relaxation, from Alexandria via LeMat-Bulk.

The structure in CIF format:
```
data_Sc11Tl9Co4
_cell_length_a 3.435
_cell_length_b 12.506
_cell_length_c 12.506
_cell_angle_alpha 112.44
_cell_angle_beta 90.00
_cell_angle_gamma 90.00
_space_group_name_H-M_alt 'P 1'
_space_group_IT_number 1
loop_
_space_group_symop_operation_xyz
'x,y,z'
loop_
_atom_site_label
_atom_site_fract_x
_atom_site_fract_y
_atom_site_fract_z
Tl1 0.500 0.073 0.220
Tl2 0.500 0.150 0.630
Tl3 0.500 0.630 0.150
Tl4 0.500 0.220 0.073
Tl5 0.500 0.500 0.500
Tl6 0.500 0.370 0.850
Tl7 0.500 0.850 0.370
Tl8 0.500 0.927 0.780
Tl9 0.500 0.780 0.927
Sc1 0.000 0.840 0.160
Sc2 0.000 0.420 0.090
Sc3 0.000 0.686 0.686
Sc4 0.000 0.910 0.580
Sc5 0.000 0.580 0.910
Sc6 0.000 0.374 0.626
Sc7 0.000 0.314 0.314
Sc8 0.000 0.000 0.000
Sc9 0.000 0.626 0.374
Sc10 0.000 0.160 0.840
Sc11 0.000 0.090 0.420
Co1 0.500 0.250 0.452
Co2 0.500 0.452 0.250
Co3 0.500 0.548 0.750
Co4 0.500 0.750 0.548
```

Results
- ρ (g/cm3) = 8.6
- DFT total energy (eV/atom) = -5.2792
- density of states at the Fermi level (states/eV/f.u.) = 13.83
- V (A^3/atom) = 20.69

The following is a PBE calculation of CeLuIr2 after structural relaxation, from Alexandria via LeMat-Bulk.

The structure in CIF format:
```
data_CeLuIr2
_cell_length_a 3.444
_cell_length_b 4.844
_cell_length_c 4.844
_cell_angle_alpha 90.00
_cell_angle_beta 90.00
_cell_angle_gamma 90.00
_space_group_name_H-M_alt 'P 1'
_space_group_IT_number 1
loop_
_space_group_symop_operation_xyz
'x,y,z'
loop_
_atom_site_label
_atom_site_fract_x
_atom_site_fract_y
_atom_site_fract_z
Ce1 0.500 0.000 0.000
Ir1 0.000 0.000 0.500
Ir2 0.000 0.500 0.000
Lu1 0.500 0.500 0.500
```

Results
- ρ (g/cm3) = 14.4
- DFT total energy (eV/atom) = -7.8398
- density of states at the Fermi level (states/eV/f.u.) = 3.50
- V (A^3/atom) = 20.20

The following is a PBE calculation of Sm2Co2Sn after structural relaxation, from Alexandria via LeMat-Bulk.

The structure in CIF format:
```
data_Sm2Co2Sn
_cell_length_a 5.575
_cell_length_b 5.621
_cell_length_c 7.891
_cell_angle_alpha 102.37
_cell_angle_beta 90.00
_cell_angle_gamma 119.73
_space_group_name_H-M_alt 'P 1'
_space_group_IT_number 1
loop_
_space_group_symop_operation_xyz
'x,y,z'
loop_
_atom_site_label
_atom_site_fract_x
_atom_site_fract_y
_atom_site_fract_z
Co1 0.999 0.300 0.002
Co2 0.699 0.700 0.498
Co3 0.301 0.300 0.502
Co4 0.001 0.700 0.998
Sm1 0.499 0.294 0.147
Sm2 0.205 0.706 0.353
Sm3 0.501 0.706 0.853
Sm4 0.795 0.294 0.647
Sn1 0.859 0.000 0.250
Sn2 0.141 0.000 0.750
```

Results
- ρ (g/cm3) = 8.6
- DFT total energy (eV/atom) = -5.8988
- density of states at the Fermi level (states/eV/f.u.) = 3.96
- V (A^3/atom) = 20.81